Entry 1
# Ta2PPb, relaxed, DFT GGA-PBEsol
# Total moment (μB/cell): 0.0
data_Ta2PPb
_cell_length_a 4.706
_cell_length_b 3.119
_cell_length_c 10.318
_cell_angle_alpha 90.00
_cell_angle_beta 90.00
_cell_angle_gamma 90.00
_space_group_name_H-M_alt 'A m m 2'
_space_group_IT_number 38
loop_
_space_group_symop_operation_xyz
'x,y,z'
'-x,-y,z'
'-x,y,z'
'x,-y,z'
'x,y+1/2,z+1/2'
'-x,-y+1/2,z+1/2'
'-x,y+1/2,z+1/2'
'x,-y+1/2,z+1/2'
loop_
_atom_site_label
_atom_site_fract_x
_atom_site_fract_y
_atom_site_fract_z
Ta1 0.000 0.000 0.000
Ta2 0.500 0.000 0.379
P1 0.000 0.000 0.309
Pb1 0.500 0.000 0.645

***

Entry 2
# Ta2PPb, relaxed, DFT GGA-PBEsol
# Total moment (μB/cell): 0.0
data_Ta2PPb
_cell_length_a 6.654
_cell_length_b 6.654
_cell_length_c 6.654
_cell_angle_alpha 90.00
_cell_angle_beta 90.00
_cell_angle_gamma 90.00
_space_group_name_H-M_alt 'F -4 3 m'
_space_group_IT_number 216
_space_group_name_Hall 'F -4 2 3'
loop_
_atom_site_label
_atom_site_fract_x
_atom_site_fract_y
_atom_site_fract_z
Ta1 0.000 0.000 0.000
Ta2 0.250 0.250 0.250
P1 0.000 0.000 0.500
Pb1 0.250 0.250 0.750

***

Winner for stability: entry 1

***

Entry 1
# Ta2PPb, relaxed, DFT GGA-PBEsol
# Total moment (μB/cell): 0.0
data_Ta2PPb
_cell_length_a 4.022
_cell_length_b 4.022
_cell_length_c 8.864
_cell_angle_alpha 90.00
_cell_angle_beta 90.00
_cell_angle_gamma 90.00
_space_group_name_H-M_alt 'I -4 m 2'
_space_group_IT_number 119
_space_group_name_Hall 'I -4 -2'
loop_
_atom_site_label
_atom_site_fract_x
_atom_site_fract_y
_atom_site_fract_z
Ta1 0.000 0.000 0.000
Ta2 0.000 0.500 0.250
P1 0.000 0.000 0.500
Pb1 0.000 0.500 0.750

***

Entry 2
# Ta2PPb, relaxed, DFT GGA-PBEsol
# Total moment (μB/cell): 0.0
data_Ta2PPb
_cell_length_a 3.563
_cell_length_b 4.733
_cell_length_c 9.601
_cell_angle_alpha 90.00
_cell_angle_beta 90.00
_cell_angle_gamma 90.00
_space_group_name_H-M_alt 'C m m 2'
_space_group_IT_number 35
loop_
_space_group_symop_operation_xyz
'x,y,z'
'-x,-y,z'
'-x,y,z'
'x,-y,z'
'x+1/2,y+1/2,z'
'-x+1/2,-y+1/2,z'
'-x+1/2,y+1/2,z'
'x+1/2,-y+1/2,z'
loop_
_atom_site_label
_atom_site_fract_x
_atom_site_fract_y
_atom_site_fract_z
Ta1 0.000 0.000 0.000
Ta2 0.000 0.500 0.225
P1 0.000 0.000 0.404
Pb1 0.000 0.500 0.736

***

Winner for stability: entry 2

***

Entry 1
# TePPb2, relaxed, DFT GGA-PBEsol
# Total moment (μB/cell): 0.0
data_TePPb2
_cell_length_a 7.420
_cell_length_b 7.420
_cell_length_c 7.420
_cell_angle_alpha 90.00
_cell_angle_beta 90.00
_cell_angle_gamma 90.00
_space_group_name_H-M_alt 'F -4 3 m'
_space_group_IT_number 216
_space_group_name_Hall 'F -4 2 3'
loop_
_atom_site_label
_atom_site_fract_x
_atom_site_fract_y
_atom_site_fract_z
Te1 0.000 0.000 0.000
P1 0.250 0.250 0.750
Pb1 0.000 0.000 0.500
Pb2 0.250 0.250 0.250

***

Entry 2
# TePPb2, relaxed, DFT GGA-PBEsol
# Total moment (μB/cell): 0.0
data_TePPb2
_cell_length_a 4.222
_cell_length_b 4.224
_cell_length_c 6.499
_cell_angle_alpha 90.00
_cell_angle_beta 91.27
_cell_angle_gamma 90.00
_space_group_name_H-M_alt 'P 1 m 1'
_space_group_IT_number 6
loop_
_space_group_symop_operation_xyz
'x,y,z'
'x,-y,z'
loop_
_atom_site_label
_atom_site_fract_x
_atom_site_fract_y
_atom_site_fract_z
Te1 0.000 0.000 0.000
P1 0.466 0.500 0.472
Pb1 0.495 0.500 0.889
Pb2 0.974 0.000 0.474

***

Entry 3
# TePPb2, relaxed, DFT GGA-PBEsol
# Total moment (μB/cell): 0.0
data_TePPb2
_cell_length_a 3.520
_cell_length_b 3.520
_cell_length_c 8.386
_cell_angle_alpha 90.00
_cell_angle_beta 90.00
_cell_angle_gamma 90.00
_space_group_name_H-M_alt 'P 4/m m m'
_space_group_IT_number 123
_space_group_name_Hall '-P 4 2'
loop_
_atom_site_label
_atom_site_fract_x
_atom_site_fract_y
_atom_site_fract_z
Te1 0.000 0.000 0.000
P1 0.000 0.000 0.500
Pb1 0.500 0.500 0.297

***

Winner for stability: entry 2

***

Entry 1
# Te2PPb, relaxed, DFT GGA-PBEsol
# Total moment (μB/cell): 0.0
data_Te2PPb
_cell_length_a 11.408
_cell_length_b 4.599
_cell_length_c 4.359
_cell_angle_alpha 90.00
_cell_angle_beta 95.44
_cell_angle_gamma 90.00
_space_group_name_H-M_alt 'C 1 m 1'
_space_group_IT_number 8
loop_
_space_group_symop_operation_xyz
'x,y,z'
'x,-y,z'
'x+1/2,y+1/2,z'
'x+1/2,-y+1/2,z'
loop_
_atom_site_label
_atom_site_fract_x
_atom_site_fract_y
_atom_site_fract_z
Te1 0.000 0.000 0.000
Te2 0.211 0.500 0.642
P1 0.494 0.000 0.708
Pb1 0.286 0.000 0.200

***

Entry 2
# Te2PPb, relaxed, DFT GGA-PBEsol
# Total moment (μB/cell): 0.0
data_Te2PPb
_cell_length_a 5.472
_cell_length_b 3.946
_cell_length_c 5.488
_cell_angle_alpha 90.00
_cell_angle_beta 112.69
_cell_angle_gamma 90.00
_space_group_name_H-M_alt 'P 1 2/m 1'
_space_group_IT_number 10
loop_
_space_group_symop_operation_xyz
'x,y,z'
'-x,-y,-z'
'-x,y,-z'
'x,-y,z'
loop_
_atom_site_label
_atom_site_fract_x
_atom_site_fract_y
_atom_site_fract_z
Te1 0.219 0.000 0.281
P1 0.000 0.500 0.500
Pb1 0.500 0.500 0.000

***

Winner for stability: entry 1

***

Entry 1
# TePPb, relaxed, DFT GGA-PBEsol
# Total moment (μB/cell): 0.0
data_TePPb
_cell_length_a 7.125
_cell_length_b 7.191
_cell_length_c 14.117
_cell_angle_alpha 90.00
_cell_angle_beta 90.00
_cell_angle_gamma 90.00
_space_group_name_H-M_alt 'P b c a'
_space_group_IT_number 61
loop_
_space_group_symop_operation_xyz
'x,y,z'
'-x,-y,-z'
'-x+1/2,-y,z+1/2'
'x+1/2,y,-z+1/2'
'x+1/2,-y+1/2,-z'
'-x+1/2,y+1/2,z'
'-x,y+1/2,-z+1/2'
'x,-y+1/2,z+1/2'
loop_
_atom_site_label
_atom_site_fract_x
_atom_site_fract_y
_atom_site_fract_z
Te1 0.103 0.099 0.165
P1 0.098 0.694 0.926
Pb1 0.038 0.186 0.387

***

Entry 2
# TePPb, relaxed, DFT GGA-PBEsol
# Total moment (μB/cell): 0.0
data_TePPb
_cell_length_a 7.063
_cell_length_b 7.063
_cell_length_c 7.063
_cell_angle_alpha 90.00
_cell_angle_beta 90.00
_cell_angle_gamma 90.00
_space_group_name_H-M_alt 'F -4 3 m'
_space_group_IT_number 216
_space_group_name_Hall 'F -4 2 3'
loop_
_atom_site_label
_atom_site_fract_x
_atom_site_fract_y
_atom_site_fract_z
Te1 0.000 0.000 0.000
P1 0.000 0.000 0.500
Pb1 0.250 0.250 0.250

***

Winner for stability: entry 1

***

Entry 1
# PPbW2, relaxed, DFT GGA-PBEsol
# Total moment (μB/cell): 0.0
data_PPbW2
_cell_length_a 3.223
_cell_length_b 3.223
_cell_length_c 6.597
_cell_angle_alpha 90.00
_cell_angle_beta 90.00
_cell_angle_gamma 90.00
_space_group_name_H-M_alt 'P 4 m m'
_space_group_IT_number 99
loop_
_space_group_symop_operation_xyz
'x,y,z'
'-y,x,z'
'-x,-y,z'
'y,-x,z'
'-x,y,z'
'y,x,z'
'x,-y,z'
'-y,-x,z'
loop_
_atom_site_label
_atom_site_fract_x
_atom_site_fract_y
_atom_site_fract_z
P1 0.000 0.000 0.000
Pb1 0.500 0.500 0.326
W1 0.000 0.000 0.609
W2 0.500 0.500 0.863

***

Entry 2
# PPbW2, relaxed, DFT GGA-PBEsol
# Total moment (μB/cell): 0.0
data_PPbW2
_cell_length_a 3.105
_cell_length_b 3.105
_cell_length_c 6.949
_cell_angle_alpha 90.00
_cell_angle_beta 90.00
_cell_angle_gamma 90.00
_space_group_name_H-M_alt 'P 4/m m m'
_space_group_IT_number 123
_space_group_name_Hall '-P 4 2'
loop_
_atom_site_label
_atom_site_fract_x
_atom_site_fract_y
_atom_site_fract_z
P1 0.000 0.000 0.000
Pb1 0.000 0.000 0.500
W1 0.500 0.500 0.186

***

Winner for stability: entry 1